Entry 1:
DFT (PBEsol) results for a geometry-optimized CdNi3 structure.

The volume is 12.62 Å³/atom. The total magnetic moment comes out at 1.44 μB per cell. Its energy of formation is 237 meV per atom.

Cell lengths 2.655, 2.655, 8.269 Å; angles 90.00, 90.00, 120.00 degrees
Fractional positions:
Cd: 0.000 0.000 0.000
Ni: 0.000 0.000 0.500
Ni: 0.667 0.333 0.726
Ni: 0.667 0.333 0.274



Entry 2:
DFT (PBEsol) results for a geometry-optimized Ta3Cu structure.

The volume is 16.63 Å³/atom. The total magnetic moment comes out at 0.00 μB per cell. Its energy of formation is 287 meV per atom.

Cell lengths 2.820, 2.820, 9.791 Å; angles 81.72, 81.72, 60.00 degrees
Fractional positions:
Ta: 0.256 0.256 0.233
Ta: 0.744 0.744 0.767
Cu: 0.000 0.000 0.000
Ta: 0.500 0.500 0.500



Entry 3:
DFT (PBEsol) results for a geometry-optimized AlCr2As structure.

The volume is 12.65 Å³/atom. The total magnetic moment comes out at 0.00 μB per cell. Its energy of formation is 54 meV per atom.

Cell lengths 3.185, 4.012, 4.716 Å; angles 115.18, 109.73, 90.00 degrees
Fractional positions:
Cr: 0.008 0.008 0.016
Al: 0.494 0.494 0.988
As: 0.262 0.762 0.525
Cr: 0.736 0.236 0.471



Entry 4:
DFT (PBEsol) results for a geometry-optimized ScCuHg structure.

The volume is 21.16 Å³/atom. The total magnetic moment comes out at 0.00 μB per cell. Its energy of formation is 177 meV per atom.

Cell lengths 4.477, 4.477, 4.477 Å; angles 60.00, 60.00, 60.00 degrees
Fractional positions:
Hg: 0.500 0.500 0.500
Sc: 0.250 0.250 0.250
Cu: 0.000 0.000 0.000



Entry 5:
DFT (PBEsol) results for a geometry-optimized LiIr3C structure.

The volume is 12.99 Å³/atom. The total magnetic moment comes out at 0.00 μB per cell. Its energy of formation is 2323 meV per atom.

Cell lengths 4.019, 4.019, 4.019 Å; angles 90.00, 90.00, 90.00 degrees
Fractional positions:
C: 0.500 0.500 0.500
Ir: 0.000 0.500 0.000
Li: 0.000 0.000 0.000
Ir: 0.500 0.000 0.000
Ir: 0.000 0.000 0.500



Entry 6:
DFT (PBEsol) results for a geometry-optimized TaP2Pt structure.

The volume is 16.05 Å³/atom. The total magnetic moment comes out at 0.00 μB per cell. Its energy of formation is -295 meV per atom.

Cell lengths 3.066, 4.559, 4.905 Å; angles 95.68, 90.00, 109.65 degrees
Fractional positions:
P: 0.287 0.574 0.173
Ta: 0.000 0.000 0.000
Pt: 0.500 0.000 0.500
P: 0.713 0.426 0.827